Entry 1:
Ce3Al7Tc2 | Alexandria via LeMat-Bulk | PBE | optimized geometry; crystal system = trigonal; energy relative to the elements = -0.385 eV per atom; total magnetic moment = 1.702 μB per cell
1.0
-1.206 -0.084 5.326
3.183 -2.757 3.478
5.661 6.401 4.183
Al Ce Tc
7 3 2
direct
0.580 0.580 0.768 Al
0.073 0.580 0.768 Al
0.420 0.420 0.232 Al
0.500 0.500 0.500 Al
0.420 0.927 0.232 Al
0.927 0.420 0.232 Al
0.580 0.073 0.768 Al
0.152 0.152 0.545 Ce
0.848 0.848 0.455 Ce
0.000 0.000 0.000 Ce
0.335 0.335 0.994 Tc
0.665 0.665 0.006 Tc

Entry 2:
Ce3AlTc2 | Alexandria via LeMat-Bulk | PBE | optimized geometry; relative energy among the computed polymorphs = 0.000 eV/atom; crystal system = orthorhombic; energy relative to the elements = -0.236 eV per atom; total magnetic moment = 0.000 μB per cell
1.0
-2.823 1.278 3.376
-1.891 -4.111 -0.025
6.623 -0.573 2.645
Tc Ce Al
2 3 1
direct
0.372 0.872 0.745 Tc
0.628 0.128 0.255 Tc
0.809 0.309 0.619 Ce
0.191 0.691 0.381 Ce
0.500 0.500 0.000 Ce
0.000 0.000 0.000 Al